# 1
VASP calculation (PBE) on a relaxed structure of SiBiAs2.

POSCAR file:
```
SiBiAs2
1.0
0.000 3.516 3.516
3.516 0.000 3.516
3.516 3.516 0.000
As Si Bi
2 1 1
Direct
0.750 0.750 0.750
0.250 0.250 0.250
0.000 0.000 0.000
0.500 0.500 0.500
```

Values from the calculation:
Distance to the lowest polymorph of the same formula: 324 meV/atom
Formation energy from raw total energies: 11.53 kcal/mol of atoms



# 2
VASP calculation (PBE) on a relaxed structure of SiBiAs2.

POSCAR file:
```
SiBiAs2
1.0
6.768 0.000 0.000
0.000 6.768 0.000
3.384 3.384 4.632
Bi Si As
2 2 4
Direct
0.000 0.000 0.000
0.750 0.250 0.500
0.250 0.750 0.500
0.500 0.500 0.000
0.875 0.811 0.750
0.561 0.125 0.250
0.375 0.439 0.750
0.189 0.625 0.250
```

Values from the calculation:
Distance to the lowest polymorph of the same formula: 0 meV/atom
Formation energy from raw total energies: 4.07 kcal/mol of atoms



> The lowest distance to the lowest polymorph of the same formula belongs to which entry?

number 2



> Among the records above, which one has the lowest formation energy from raw total energies?

number 2



> The lowest distance to the lowest polymorph of the same formula belongs to which entry?

number 2